# 1
This record from the Alexandria database describes a geometry-optimized Pm4Nd2Tl structure. The functional is PBE-GGA.

Summary:
- E: -31.09 eV per formula unit
- Offset from the most stable computed form: 0.000 eV/atom
- SG: P2_1/m
- DFT formation energy: -18 kJ/mol of formula units

Cell lengths 5.8764, 6.8421, 11.8431 Å; angles 90.00, 103.48, 90.00 degrees
Atoms (fractional coordinates):
Pm 0.0921 0.2500 0.1269
Pm 0.2834 0.7500 0.4327
Pm 0.3454 0.5081 0.7162
Pm 0.3454 0.9919 0.7162
Pm 0.6546 0.0081 0.2838
Pm 0.6546 0.4919 0.2838
Pm 0.7166 0.2500 0.5673
Pm 0.9079 0.7500 0.8731
Nd 0.1595 0.2500 0.4294
Nd 0.4786 0.7500 0.0238
Nd 0.5214 0.2500 0.9762
Nd 0.8405 0.7500 0.5706
Tl 0.0487 0.7500 0.1607
Tl 0.9513 0.2500 0.8393

***

# 2
This record from the Alexandria database describes a geometry-optimized Pm6Nd12Tl structure. The functional is PBE-GGA.

Summary:
- E: -86.75 eV per formula unit
- SG: R-3
- DFT formation energy: 128 kJ/mol of formula units

Cell lengths 8.7170, 8.7170, 8.7170 Å; angles 88.68, 88.68, 88.68 degrees
Atoms (fractional coordinates):
Pm 0.2059 0.7581 0.5970
Pm 0.2419 0.4030 0.7941
Pm 0.4030 0.7941 0.2419
Pm 0.5970 0.2059 0.7581
Pm 0.7581 0.5970 0.2059
Pm 0.7941 0.2419 0.4030
Nd 0.0367 0.9318 0.2828
Nd 0.0682 0.7172 0.9633
Nd 0.1385 0.4842 0.3180
Nd 0.2828 0.0367 0.9318
Nd 0.3180 0.1385 0.4842
Nd 0.4842 0.3180 0.1385
Nd 0.5158 0.6820 0.8615
Nd 0.6820 0.8615 0.5158
Nd 0.7172 0.9633 0.0682
Nd 0.8615 0.5158 0.6820
Nd 0.9318 0.2828 0.0367
Nd 0.9633 0.0682 0.7172
Tl 0.5000 0.5000 0.5000

***

# 3
This record from the Alexandria database describes a geometry-optimized PmNd14Tl structure. The functional is PBE-GGA.

Summary:
- E: -74.24 eV per formula unit
- SG: P4/mmm
- DFT formation energy: -36 kJ/mol of formula units

Cell lengths 7.2723, 7.2723, 10.3255 Å; angles 90.00, 90.00, 90.00 degrees
Atoms (fractional coordinates):
Pm 0.0000 0.0000 0.0000
Nd 0.0000 0.0000 0.5000
Nd 0.0000 0.5000 0.0000
Nd 0.0000 0.5000 0.5000
Nd 0.2521 0.2521 0.2458
Nd 0.2521 0.2521 0.7542
Nd 0.2521 0.7479 0.2458
Nd 0.2521 0.7479 0.7542
Nd 0.5000 0.0000 0.0000
Nd 0.5000 0.0000 0.5000
Nd 0.5000 0.5000 0.5000
Nd 0.7479 0.2521 0.2458
Nd 0.7479 0.2521 0.7542
Nd 0.7479 0.7479 0.2458
Nd 0.7479 0.7479 0.7542
Tl 0.5000 0.5000 0.0000

***

# 4
This record from the Alexandria database describes a geometry-optimized Pm5NdTl4 structure. The functional is PBE-GGA.

Summary:
- E: -40.97 eV per formula unit
- Offset from the most stable computed form: 0.000 eV/atom
- SG: P4/mmm
- DFT formation energy: -288 kJ/mol of formula units

Cell lengths 3.6390, 3.6390, 22.8244 Å; angles 90.00, 90.00, 90.00 degrees
Atoms (fractional coordinates):
Pm 0.0000 0.0000 0.0000
Pm 0.0000 0.0000 0.1925
Pm 0.0000 0.0000 0.3842
Pm 0.0000 0.0000 0.6158
Pm 0.0000 0.0000 0.8075
Nd 0.5000 0.5000 0.5000
Tl 0.5000 0.5000 0.0964
Tl 0.5000 0.5000 0.2890
Tl 0.5000 0.5000 0.7110
Tl 0.5000 0.5000 0.9036

***

# 5
This record from the Alexandria database describes a geometry-optimized Pm8Nd3Tl structure. The functional is PBE-GGA.

Summary:
- E: -49.38 eV per formula unit
- SG: I-42m
- DFT formation energy: 511 kJ/mol of formula units

Cell lengths 8.4742, 8.4742, 8.4742 Å; angles 117.69, 117.69, 94.05 degrees
Atoms (fractional coordinates):
Pm 0.1262 0.1262 0.7470
Pm 0.2381 0.7319 0.0000
Pm 0.2681 0.2681 0.5062
Pm 0.3792 0.3792 0.2530
Pm 0.6208 0.8738 0.0000
Pm 0.7319 0.2381 0.0000
Pm 0.7619 0.7619 0.4938
Pm 0.8738 0.6208 0.0000
Nd 0.2500 0.7500 0.5000
Nd 0.5000 0.5000 0.0000
Nd 0.7500 0.2500 0.5000
Tl 0.0000 0.0000 0.0000

***

# 6
This record from the Alexandria database describes a geometry-optimized PmNd5Tl2 structure. The functional is PBE-GGA.

Summary:
- E: -34.31 eV per formula unit
- Offset from the most stable computed form: 0.000 eV/atom
- SG: Immm
- DFT formation energy: -96 kJ/mol of formula units

Cell lengths 8.6094, 8.6094, 8.6094 Å; angles 154.85, 100.37, 85.11 degrees
Atoms (fractional coordinates):
Pm 0.0000 0.0000 0.0000
Nd 0.1400 0.3617 0.7783
Nd 0.4165 0.6383 0.7783
Nd 0.5000 0.0000 0.5000
Nd 0.5835 0.3617 0.2217
Nd 0.8600 0.6383 0.2217
Tl 0.2274 0.7274 0.5000
Tl 0.7726 0.2726 0.5000

***

# 7
This record from the Alexandria database describes a geometry-optimized Pm3NdTl3 structure. The functional is PBE-GGA.

Summary:
- E: -27.90 eV per formula unit
- Offset from the most stable computed form: 0.031 eV/atom
- SG: P6_3/m
- DFT formation energy: -172 kJ/mol of formula units

Cell lengths 9.7074, 9.7074, 5.3071 Å; angles 90.00, 90.00, 120.00 degrees
Atoms (fractional coordinates):
Pm 0.0020 0.2396 0.2500
Pm 0.2376 0.9980 0.2500
Pm 0.2396 0.2376 0.7500
Pm 0.7604 0.7624 0.2500
Pm 0.7624 0.0020 0.7500
Pm 0.9980 0.7604 0.7500
Nd 0.3333 0.6667 0.7500
Nd 0.6667 0.3333 0.2500
Tl 0.0689 0.6190 0.2500
Tl 0.3810 0.4500 0.2500
Tl 0.4500 0.0689 0.7500
Tl 0.5500 0.9311 0.2500
Tl 0.6190 0.5500 0.7500
Tl 0.9311 0.3810 0.7500

***

# 8
This record from the Alexandria database describes a geometry-optimized PmNdTmTl structure. The functional is PBE-GGA.

Summary:
- E: -17.12 eV per formula unit
- Offset from the most stable computed form: 0.000 eV/atom
- SG: Pmmm
- DFT formation energy: -73 kJ/mol of formula units

Cell lengths 4.8753, 4.8878, 4.9975 Å; angles 90.00, 90.00, 90.00 degrees
Atoms (fractional coordinates):
Pm 0.0000 0.0000 0.0000
Nd 0.5000 0.5000 0.0000
Tm 0.0000 0.5000 0.5000
Tl 0.5000 0.0000 0.5000

***

E of number 5 (Pm8Nd3Tl)?
-49.38 eV per formula unit

***

E of number 8 (PmNdTmTl)?
-17.12 eV per formula unit